[1]
The following is a PBE calculation of crystalline BaSc2CrS at its relaxed geometry, from Alexandria.

Values from the calculation:
Calculated total energy   -3.920 eV/atom
SG   P4/mmm, No. 123
Spin magnetization   0.0 μB/cell
Formation energy from raw total energies   1.7477 eV per atom

Cell lengths 5.3742, 4.5928, 5.3742 Å; angles 90.00, 90.00, 90.00 degrees
Fractional positions:
Cr 0.0000 0.5000 0.0000
S 0.5000 0.5000 0.5000
Sc 0.5000 0.0000 0.0000
Sc 0.0000 0.0000 0.5000
Ba 0.0000 0.0000 0.0000


[2]
The following is a PBE calculation of crystalline BaCrTc2S at its relaxed geometry, from Alexandria.

Values from the calculation:
Calculated total energy   -6.719 eV/atom
SG   P4/mmm, No. 123
Spin magnetization   3.5 μB/cell
Formation energy from raw total energies   0.5618 eV per atom

Cell lengths 4.6102, 4.6108, 4.6102 Å; angles 90.00, 90.00, 90.00 degrees
Site moments in Bohr magnetons follow the coordinates.
Fractional positions:
Tc 0.0000 0.0000 0.5000  0.11
Tc 0.5000 0.0000 0.0000  0.04
Cr 0.0000 0.5000 0.0000  3.03
S 0.0000 0.0000 0.0000  -0.06
Ba 0.5000 0.5000 0.5000  0.05


The lowest formation energy from raw total energies belongs to which entry? BaCrTc2S


What is the formula in the first record? BaSc2CrS